A plane-wave DFT calculation with GGA-PBE was carried out for a relaxed TlPtSe2Br crystal.

Cell: 5.0129 5.0129 5.4436 Å, 90.00 90.00 90.00°
Fractional coordinates of all 5 atoms:
Tl 0.5000 0.5000 0.5000
Se 0.0000 0.5000 0.0000
Pt 0.0000 0.0000 0.0000
Br 0.0000 0.0000 0.5000
Se 0.5000 0.0000 0.0000

SG   P4/mmm (123)
DFT total energy   -3.42 eV per atom
Total moment   1.10 μB per cell
Formation energy (no corrections)   -0.01 eV/atom
Density of states at the Fermi level   1.0998 states/eV per atom